A plane-wave DFT calculation with GGA-PBE was carried out for a relaxed NdNpAu crystal.

Structure (extended XYZ):
```
3
Lattice="-3.679 -1.271 -3.005 -4.298 2.379 0.232 -1.345 3.009 -3.650" Properties=species:S:1:pos:R:3 pbc="T T T"
Au -2.331 1.029 -1.606
Nd -6.992 3.088 -4.817
Np 0.000 0.000 0.000
```

Output
DFT formation energy: 0.3973 eV/atom
Polymorph energy (0 for the lowest one): 0 meV per atom
E: -6.5358 eV/atom

---

A plane-wave DFT calculation with GGA-PBE was carried out for a relaxed NbPb2W crystal.

Structure (extended XYZ):
```
4
Lattice="3.946 -3.010 0.098 -0.635 -4.919 0.198 1.082 -2.803 -3.951" Properties=species:S:1:pos:R:3 pbc="T T T"
Nb 3.295 -8.049 -2.741
Pb 0.000 0.000 0.000
Pb 1.098 -2.683 -0.914
W 2.196 -5.366 -1.827
```

Output
E: -6.7055 eV/atom

---

A plane-wave DFT calculation with GGA-PBE was carried out for a relaxed PrAgO3 crystal.

Structure (extended XYZ):
```
20
Lattice="-4.627 -1.014 3.540 3.781 -1.728 4.447 0.368 7.775 2.708" Properties=species:S:1:pos:R:3 pbc="T T T"
Ag -4.339 0.855 4.406
Ag -0.178 0.488 4.893
Ag -0.300 4.545 5.803
Ag 3.861 4.178 6.289
O -1.656 -0.640 4.036
O -0.726 -1.714 6.994
O 0.804 1.170 2.801
O 1.706 0.090 5.781
O -1.530 2.024 4.964
O -0.600 0.949 7.922
O 0.122 4.084 2.774
O 1.052 3.009 5.732
O -2.184 4.943 4.915
O -1.282 3.863 7.895
O 0.248 6.747 3.701
O 1.178 5.673 6.659
Pr -2.314 -0.507 1.770
Pr 1.890 -0.864 2.224
Pr -2.129 3.380 3.124
Pr 2.075 3.023 3.578
```

Output
E: -5.8578 eV/atom

---

A plane-wave DFT calculation with GGA-PBE was carried out for a relaxed FeP2Ir crystal.

Structure (extended XYZ):
```
4
Lattice="3.429 0.000 0.000 0.000 3.429 0.000 0.000 0.000 4.859" Properties=species:S:1:pos:R:3 pbc="T T T"
Fe 1.714 1.714 0.000
Ir 0.000 0.000 2.429
P 0.000 0.000 0.000
P 1.714 1.714 2.429
```

Output
E: -6.8977 eV/atom

---

A plane-wave DFT calculation with GGA-PBE was carried out for a relaxed KRb3Ag2As2 crystal.

Structure (extended XYZ):
```
8
Lattice="-4.708 -4.280 1.720 4.302 -3.590 2.842 0.278 4.321 5.037" Properties=species:S:1:pos:R:3 pbc="T T T"
Ag -1.141 -0.884 4.076
Ag 1.013 -2.682 5.500
As 1.041 -1.806 3.087
As -3.297 0.076 5.085
K -1.233 2.856 5.473
Rb -1.059 -4.609 2.725
Rb -4.495 -2.800 3.267
Rb 2.204 1.040 4.920
```

Output
E: -2.7435 eV/atom

---

A plane-wave DFT calculation with GGA-PBE was carried out for a relaxed ZnCd2Pd crystal.

Structure (extended XYZ):
```
4
Lattice="-3.816 -0.942 2.481 -0.814 2.280 3.968 -3.449 3.108 0.229" Properties=species:S:1:pos:R:3 pbc="T T T"
Cd 0.000 0.000 0.000
Cd -6.060 3.334 5.009
Pd -2.020 1.111 1.670
Zn -4.040 2.223 3.339
```

Output
DFT formation energy: -0.1868 eV/atom
E: -2.2446 eV/atom

---

A plane-wave DFT calculation with GGA-PBE was carried out for a relaxed AcCdPO crystal.

Structure (extended XYZ):
```
8
Lattice="-1.699 3.799 -3.243 -0.820 -3.019 -3.108 -6.768 -0.822 2.583" Properties=species:S:1:pos:R:3 pbc="T T T"
Ac -1.237 -2.362 -2.120
Ac -4.199 -1.218 0.773
Cd -4.464 -0.695 -2.767
Cd -7.457 0.333 0.006
O -3.530 -2.595 -1.191
O -6.517 -1.545 1.605
P -2.985 0.943 -1.623
P -6.797 -1.045 -1.955
```

Output
Polymorph energy (0 for the lowest one): 183 meV per atom
E: -5.4322 eV/atom

---

A plane-wave DFT calculation with GGA-PBE was carried out for a relaxed Na2Tc crystal.

Structure (extended XYZ):
```
6
Lattice="3.012 -1.902 8.405 8.871 0.866 1.974 2.822 6.741 5.471" Properties=species:S:1:pos:R:3 pbc="T T T"
Na 7.779 0.195 7.170
Na 9.190 3.566 9.906
Na 7.684 4.516 5.703
Na 4.755 3.133 8.919
Tc 7.352 2.852 7.924
Tc 11.029 4.279 11.887
```

Output
Polymorph energy (0 for the lowest one): 861 meV per atom
E: -2.1636 eV/atom

---

A plane-wave DFT calculation with GGA-PBE was carried out for a relaxed AcPPtO crystal.

Structure (extended XYZ):
```
8
Lattice="4.295 0.000 0.000 0.000 4.295 0.000 0.000 0.000 8.393" Properties=species:S:1:pos:R:3 pbc="T T T"
Ac 0.000 2.148 1.241
Ac 2.148 0.000 7.151
O 0.000 0.000 0.000
O 2.148 2.148 0.000
P 2.148 0.000 3.067
P 0.000 2.148 5.326
Pt 0.000 0.000 4.196
Pt 2.148 2.148 4.196
```

Output
Polymorph energy (0 for the lowest one): 0 meV per atom
E: -7.0332 eV/atom

---

A plane-wave DFT calculation with GGA-PBE was carried out for a relaxed Sm3Te2S crystal.

Structure (extended XYZ):
```
6
Lattice="-2.953 0.603 -2.976 2.444 -3.457 -0.112 -7.248 -5.323 6.113" Properties=species:S:1:pos:R:3 pbc="T T T"
S -3.624 -2.662 3.057
Sm 0.000 0.000 0.000
Sm -3.812 -2.703 0.221
Sm -3.944 -5.474 2.804
Te -0.663 -3.064 0.037
Te -7.094 -5.113 2.989
```

Output
E: -5.6757 eV/atom

---

A plane-wave DFT calculation with GGA-PBE was carried out for a relaxed Er3AsSe2 crystal.

Structure (extended XYZ):
```
6
Lattice="-1.192 -3.408 -1.837 3.318 1.939 -1.282 5.514 -5.301 6.256" Properties=species:S:1:pos:R:3 pbc="T T T"
As 2.757 -2.650 3.128
Er 0.000 0.000 0.000
Er 2.184 -3.426 0.472
Er 5.456 -3.344 2.664
Se 2.727 -0.720 -0.432
Se 4.914 -6.050 3.569
```

Output
E: -5.8960 eV/atom

---

A plane-wave DFT calculation with GGA-PBE was carried out for a relaxed FeCo2Cl4 crystal.

Structure (extended XYZ):
```
7
Lattice="-3.310 1.431 0.616 0.381 -3.614 -0.418 1.683 -1.188 11.798" Properties=species:S:1:pos:R:3 pbc="T T T"
Cl 0.026 -0.018 0.181
Cl -0.391 -2.256 3.142
Cl 0.818 -0.577 5.735
Cl 0.429 -2.835 8.886
Co -0.711 -2.030 0.897
Co -1.449 -0.696 4.692
Fe 1.141 -0.805 7.998
```

Output
E: -4.5362 eV/atom

---

A plane-wave DFT calculation with GGA-PBE was carried out for a relaxed PrSmFe2Si4 crystal.

Structure (extended XYZ):
```
8
Lattice="-1.447 3.415 -2.253 -3.467 -0.124 2.040 3.646 3.351 6.401" Properties=species:S:1:pos:R:3 pbc="T T T"
Fe -1.893 1.601 0.850
Fe 2.355 5.093 4.312
Pr -0.222 4.055 -0.132
Si -2.915 2.766 -0.818
Si -0.923 2.845 2.574
Si 1.396 3.868 2.607
Si 3.373 3.928 5.972
Sm 0.693 2.658 5.309
```

Output
E: -6.6607 eV/atom